A relaxed GaAgI2 crystal, computed with GGA-PBEsol.

abc: 7.8808 7.8808 6.9351
angles: 124.62 124.62 90.00
Fractional coordinates of all 8 atoms:
1 Ag 0.0000 0.0000 0.0000
2 Ag 0.2500 0.7500 0.5000
3 I 0.3396 0.8750 0.2500
4 I 0.1250 0.0896 0.7500
5 I 0.9104 0.3750 0.2500
6 I 0.6250 0.6604 0.7500
7 Ga 0.7500 0.2500 0.5000
8 Ga 0.5000 0.5000 0.0000

Summary:
V = 32.0 A^3/atom
Energy relative to the elements, uncorrected = -156 meV per atom
Calculated total energy = -21.62 eV/cell

***

A relaxed Ga3AgI crystal, computed with GGA-PBEsol.

abc: 5.7802 5.7802 5.7802
angles: 90.00 90.00 90.00
Fractional coordinates of all 5 atoms:
1 I 0.0000 0.0000 0.0000
2 Ga 0.0000 0.0000 0.5000
3 Ga 0.5000 0.0000 0.0000
4 Ga 0.0000 0.5000 0.0000
5 Ag 0.5000 0.5000 0.5000

Summary:
V = 38.6 A^3/atom
Energy relative to the elements, uncorrected = 923 meV per atom
Calculated total energy = -10.48 eV/cell

***

A relaxed GaAgI2N crystal, computed with GGA-PBEsol.

abc: 4.0249 5.7634 5.7634
angles: 90.00 90.00 90.00
Site moments in Bohr magnetons follow the coordinates.
Fractional coordinates of all 5 atoms:
1 Ga 0.5000 0.5000 0.5000  0.00
2 N 0.5000 0.0000 0.0000  1.11
3 I 0.0000 0.0000 0.5000  0.08
4 I 0.0000 0.5000 0.0000  0.08
5 Ag 0.0000 0.0000 0.0000  0.15

Summary:
V = 26.7 A^3/atom
Energy relative to the elements, uncorrected = 679 meV per atom
Calculated total energy = -15.32 eV/cell

***

A relaxed Rb2GaAgI6 crystal, computed with GGA-PBEsol.

abc: 8.0704 8.0704 8.0704
angles: 60.00 60.00 60.00
Fractional coordinates of all 10 atoms:
1 Rb 0.2500 0.2500 0.2500
2 Rb 0.7500 0.7500 0.7500
3 I 0.2460 0.7540 0.7540
4 I 0.2460 0.7540 0.2460
5 I 0.7540 0.7540 0.2460
6 I 0.2460 0.2460 0.7540
7 I 0.7540 0.2460 0.2460
8 I 0.7540 0.2460 0.7540
9 Ag 0.5000 0.5000 0.5000
10 Ga 0.0000 0.0000 0.0000

Summary:
V = 37.2 A^3/atom
Energy relative to the elements, uncorrected = -751 meV per atom
Calculated total energy = -26.81 eV/cell

***

A relaxed InGaAg2Se4 crystal, computed with GGA-PBEsol.

abc: 5.9784 5.9784 7.1307
angles: 114.78 114.78 90.00
Fractional coordinates of all 8 atoms:
1 Se 0.6067 0.1050 0.7378
2 Se 0.8950 0.8689 0.2622
3 Se 0.1311 0.6328 0.7378
4 Se 0.3672 0.3933 0.2622
5 Ga 0.2500 0.7500 0.5000
6 Ag 0.0000 0.0000 0.0000
7 Ag 0.7500 0.2500 0.5000
8 In 0.5000 0.5000 0.0000

Summary:
V = 25.7 A^3/atom
Energy relative to the elements, uncorrected = -393 meV per atom
Calculated total energy = -31.49 eV/cell

***

A relaxed ZrIn2GaAg crystal, computed with GGA-PBEsol.

abc: 4.9492 4.9492 5.3276
angles: 90.00 90.00 90.00
Fractional coordinates of all 5 atoms:
1 In 0.5000 0.0000 0.0000
2 In 0.0000 0.5000 0.0000
3 Ag 0.0000 0.0000 0.0000
4 Zr 0.0000 0.0000 0.5000
5 Ga 0.5000 0.5000 0.5000

Summary:
V = 26.1 A^3/atom
Calculated total energy = -18.84 eV/cell